Entry 1:
Entry from Alexandria via LeMat-Bulk: a relaxed structure of TiFeGe (PBE-GGA).

Values from the calculation:
Calculated volume (Å³/atom): 14.15
Magnetic moment (μB/cell): 0.00
Crystal system: orthorhombic
SG: Immm (71)
Energy of formation (meV/atom): -364.0

Cell: 6.283 6.283 6.283 Å, 153.71 128.95 58.32°
Positions (direct):
Ti 0.150 0.150 0.000
Ti 0.850 0.850 0.000
Fe 0.247 0.500 0.747
Fe 0.753 0.500 0.253
Ge 0.364 0.864 0.500
Ge 0.636 0.136 0.500

=====

Entry 2:
Entry from Alexandria via LeMat-Bulk: a relaxed structure of Ti2FeGe (PBE-GGA).

Values from the calculation:
Calculated volume (Å³/atom): 14.57
Magnetic moment (μB/cell): 1.47
Crystal system: tetragonal
SG: P4/mmm (123)
Energy of formation (meV/atom): -394.5

Cell: 4.109 4.109 3.451 Å, 90.00 90.00 90.00°
Positions (direct):
Ti 0.000 0.500 0.000
Ti 0.500 0.000 0.000
Fe 0.000 0.000 0.500
Ge 0.500 0.500 0.500

=====

Entry 3:
Entry from Alexandria via LeMat-Bulk: a relaxed structure of TiFeGe (PBE-GGA).

Values from the calculation:
Calculated volume (Å³/atom): 13.57
Magnetic moment (μB/cell): 0.38
Crystal system: tetragonal
SG: I4mm (107)
Energy of formation (meV/atom): -281.5

Cell: 5.107 5.107 5.107 Å, 146.35 146.35 48.33°
Positions (direct):
Ti 0.000 0.000 0.000
Fe 0.663 0.663 0.000
Ge 0.306 0.306 0.000

=====

Entry 4:
Entry from Alexandria via LeMat-Bulk: a relaxed structure of TiFe2Ge2 (PBE-GGA).

Values from the calculation:
Calculated volume (Å³/atom): 13.34
Magnetic moment (μB/cell): 3.93
Crystal system: tetragonal
SG: P4/mbm (127)
Energy of formation (meV/atom): -154.3

Cell: 7.011 7.011 2.714 Å, 90.00 90.00 90.00°
Positions (direct):
Ti 0.000 0.000 0.000
Ti 0.500 0.500 0.000
Fe 0.146 0.354 0.500
Fe 0.354 0.854 0.500
Fe 0.646 0.146 0.500
Fe 0.854 0.646 0.500
Ge 0.150 0.650 0.000
Ge 0.350 0.150 0.000
Ge 0.650 0.850 0.000
Ge 0.850 0.350 0.000

=====

Entry 5:
Entry from Alexandria via LeMat-Bulk: a relaxed structure of Ti2FeGe (PBE-GGA).

Values from the calculation:
Calculated volume (Å³/atom): 15.18
Magnetic moment (μB/cell): 0.33
Crystal system: trigonal
SG: R-3m (166)
Energy of formation (meV/atom): -152.6

Cell: 8.053 8.053 8.053 Å, 21.36 21.36 21.36°
Positions (direct):
Ti 0.242 0.242 0.242
Ti 0.758 0.758 0.758
Fe 0.500 0.500 0.500
Ge 0.000 0.000 0.000

=====

Entry 6:
Entry from Alexandria via LeMat-Bulk: a relaxed structure of Ti2Fe2Ge (PBE-GGA).

Values from the calculation:
Calculated volume (Å³/atom): 14.00
Magnetic moment (μB/cell): 4.58
Crystal system: tetragonal
SG: P4/mbm (127)
Energy of formation (meV/atom): -231.2

Cell: 6.627 6.627 3.187 Å, 90.00 90.00 90.00°
Positions (direct):
Ti 0.183 0.317 0.000
Ti 0.317 0.817 0.000
Ti 0.683 0.183 0.000
Ti 0.817 0.683 0.000
Fe 0.121 0.621 0.500
Fe 0.379 0.121 0.500
Fe 0.621 0.879 0.500
Fe 0.879 0.379 0.500
Ge 0.000 0.000 0.500
Ge 0.500 0.500 0.500

=====

Entry 7:
Entry from Alexandria via LeMat-Bulk: a relaxed structure of TiFe3Ge (PBE-GGA).

Values from the calculation:
Calculated volume (Å³/atom): 16.65
Magnetic moment (μB/cell): 5.57
Crystal system: cubic
SG: Pm-3m (221)
Energy of formation (meV/atom): 1119.9
Relative energy among the computed polymorphs (eV per formula unit): 1.62

Cell: 4.366 4.366 4.366 Å, 90.00 90.00 90.00°
Positions (direct):
Ti 0.000 0.000 0.000
Fe 0.000 0.000 0.500
Fe 0.000 0.500 0.000
Fe 0.500 0.000 0.000
Ge 0.500 0.500 0.500

=====

Entry 8:
Entry from Alexandria via LeMat-Bulk: a relaxed structure of Ti3FeGe (PBE-GGA).

Values from the calculation:
Calculated volume (Å³/atom): 17.57
Magnetic moment (μB/cell): 0.00
Crystal system: cubic
SG: Pm-3m (221)
Energy of formation (meV/atom): 126.4

Cell: 4.445 4.445 4.445 Å, 90.00 90.00 90.00°
Positions (direct):
Ti 0.000 0.000 0.500
Ti 0.000 0.500 0.000
Ti 0.500 0.000 0.000
Fe 0.000 0.000 0.000
Ge 0.500 0.500 0.500

=====

Entry 9:
Entry from Alexandria via LeMat-Bulk: a relaxed structure of Ti3FeGe4 (PBE-GGA).

Values from the calculation:
Calculated volume (Å³/atom): 15.49
Magnetic moment (μB/cell): 1.91
Crystal system: orthorhombic
SG: Pmn2_1 (31)
Energy of formation (meV/atom): -294.2

Cell: 9.086 5.202 5.242 Å, 90.00 90.00 90.00°
Positions (direct):
Ti 0.000 0.083 0.000
Ti 0.249 0.653 0.172
Ti 0.251 0.347 0.672
Ti 0.500 0.917 0.500
Ti 0.749 0.347 0.672
Ti 0.751 0.653 0.172
Fe 0.000 0.635 0.396
Fe 0.500 0.365 0.896
Ge 0.000 0.147 0.479
Ge 0.000 0.570 0.911
Ge 0.210 0.840 0.660
Ge 0.290 0.160 0.160
Ge 0.500 0.430 0.411
Ge 0.500 0.853 0.979
Ge 0.710 0.160 0.160
Ge 0.790 0.840 0.660

=====

Entry 10:
Entry from Alexandria via LeMat-Bulk: a relaxed structure of TiFeGe (PBE-GGA).

Values from the calculation:
Calculated volume (Å³/atom): 13.84
Magnetic moment (μB/cell): 0.00
Crystal system: trigonal
SG: P3m1 (156)
Energy of formation (meV/atom): -368.4

Cell: 4.066 4.066 2.899 Å, 90.00 90.00 120.00°
Positions (direct):
Ti 0.000 0.000 0.000
Fe 0.667 0.333 0.460
Ge 0.333 0.667 0.491

=====

Entry 11:
Entry from Alexandria via LeMat-Bulk: a relaxed structure of TiVFe2Ge (PBE-GGA).

Values from the calculation:
Calculated volume (Å³/atom): 17.39
Magnetic moment (μB/cell): 0.00
Crystal system: tetragonal
SG: P4/mmm (123)
Energy of formation (meV/atom): 1069.0

Cell: 4.316 4.316 4.667 Å, 90.00 90.00 90.00°
Positions (direct):
Ti 0.000 0.000 0.000
V 0.500 0.500 0.000
Fe 0.000 0.500 0.500
Fe 0.500 0.000 0.500
Ge 0.000 0.000 0.500

=====

Entry 12:
Entry from Alexandria via LeMat-Bulk: a relaxed structure of TlFe3Ge (PBE-GGA).

Values from the calculation:
Calculated volume (Å³/atom): 18.37
Magnetic moment (μB/cell): 7.42
Crystal system: cubic
SG: Pm-3m (221)
Energy of formation (meV/atom): 792.5
Relative energy among the computed polymorphs (eV per formula unit): 0.00

Cell: 4.512 4.512 4.512 Å, 90.00 90.00 90.00°
Positions (direct):
Tl 0.000 0.000 0.000
Fe 0.000 0.500 0.500
Fe 0.500 0.000 0.500
Fe 0.500 0.500 0.000
Ge 0.500 0.500 0.500